# 1
# HgRu3 | Alexandria | GGA-PBE | relaxed
data_HgRu3
_cell_length_a 9.332
_cell_length_b 9.332
_cell_length_c 9.332
_cell_angle_alpha 17.23
_cell_angle_beta 17.23
_cell_angle_gamma 17.23
_space_group_name_H-M_alt 'P 1'
_space_group_IT_number 1
loop_
_space_group_symop_operation_xyz
'x,y,z'
loop_
_atom_site_label
_atom_site_type_symbol
_atom_site_fract_x
_atom_site_fract_y
_atom_site_fract_z
Hg1 Hg 0.000 0.000 0.000
Ru1 Ru 0.243 0.243 0.243
Ru2 Ru 0.500 0.500 0.500
Ru3 Ru 0.757 0.757 0.757
# **Energy of formation from the pure elements**: 0.3842 eV/atom
# **Crystal system**: trigonal


# 2
# Pr3Ho2Er5 | Alexandria | GGA-PBE | relaxed
data_Pr3Ho2Er5
_cell_length_a 9.646
_cell_length_b 9.646
_cell_length_c 9.373
_cell_angle_alpha 108.23
_cell_angle_beta 108.23
_cell_angle_gamma 112.96
_space_group_name_H-M_alt 'P 1'
_space_group_IT_number 1
loop_
_space_group_symop_operation_xyz
'x,y,z'
loop_
_atom_site_label
_atom_site_type_symbol
_atom_site_fract_x
_atom_site_fract_y
_atom_site_fract_z
Pr1 Pr 0.021 0.268 0.045
Pr2 Pr 0.236 0.764 0.750
Pr3 Pr 0.268 0.021 0.545
Pr4 Pr 0.732 0.979 0.455
Pr5 Pr 0.764 0.236 0.250
Pr6 Pr 0.979 0.732 0.955
Ho1 Ho 0.234 0.465 0.453
Ho2 Ho 0.465 0.234 0.953
Ho3 Ho 0.535 0.766 0.047
Ho4 Ho 0.766 0.535 0.547
Er1 Er 0.027 0.973 0.750
Er2 Er 0.150 0.370 0.768
Er3 Er 0.272 0.728 0.250
Er4 Er 0.370 0.150 0.268
Er5 Er 0.470 0.530 0.250
Er6 Er 0.530 0.470 0.750
Er7 Er 0.630 0.850 0.732
Er8 Er 0.728 0.272 0.750
Er9 Er 0.850 0.630 0.232
Er10 Er 0.973 0.027 0.250
# **Energy of formation from the pure elements**: 0.1920 eV/atom
# **Crystal system**: monoclinic


# 3
# PmTmGeSe | Alexandria | GGA-PBE | relaxed
data_PmTmGeSe
_cell_length_a 7.246
_cell_length_b 7.246
_cell_length_c 7.246
_cell_angle_alpha 33.36
_cell_angle_beta 33.36
_cell_angle_gamma 33.36
_space_group_name_H-M_alt 'P 1'
_space_group_IT_number 1
loop_
_space_group_symop_operation_xyz
'x,y,z'
loop_
_atom_site_label
_atom_site_type_symbol
_atom_site_fract_x
_atom_site_fract_y
_atom_site_fract_z
Pm1 Pm 0.000 0.000 0.000
Tm1 Tm 0.508 0.508 0.508
Ge1 Ge 0.251 0.251 0.251
Se1 Se 0.758 0.758 0.758
# **Energy relative to the elements, uncorrected**: -1.367 eV/atom
# **Crystal system**: trigonal


# 4
# LaSm2Cd2 | Alexandria | GGA-PBE | relaxed
data_LaSm2Cd2
_cell_length_a 3.841
_cell_length_b 5.558
_cell_length_c 14.193
_cell_angle_alpha 90.00
_cell_angle_beta 97.81
_cell_angle_gamma 90.00
_space_group_name_H-M_alt 'P 1'
_space_group_IT_number 1
loop_
_space_group_symop_operation_xyz
'x,y,z'
loop_
_atom_site_label
_atom_site_type_symbol
_atom_site_fract_x
_atom_site_fract_y
_atom_site_fract_z
La1 La 0.148 0.250 0.295
La2 La 0.852 0.750 0.705
Sm1 Sm 0.047 0.750 0.095
Sm2 Sm 0.236 0.750 0.473
Sm3 Sm 0.764 0.250 0.527
Sm4 Sm 0.953 0.250 0.905
Cd1 Cd 0.358 0.250 0.716
Cd2 Cd 0.453 0.750 0.905
Cd3 Cd 0.547 0.250 0.095
Cd4 Cd 0.642 0.750 0.284
# **Energy of formation from the pure elements**: -0.2545 eV/atom
# **Crystal system**: monoclinic


# 5
# Sr3NbF | Alexandria | GGA-PBE | relaxed
data_Sr3NbF
_cell_length_a 5.359
_cell_length_b 5.359
_cell_length_c 5.359
_cell_angle_alpha 90.00
_cell_angle_beta 90.00
_cell_angle_gamma 90.00
_space_group_name_H-M_alt 'P 1'
_space_group_IT_number 1
loop_
_space_group_symop_operation_xyz
'x,y,z'
loop_
_atom_site_label
_atom_site_type_symbol
_atom_site_fract_x
_atom_site_fract_y
_atom_site_fract_z
Sr1 Sr 0.000 0.000 0.500
Sr2 Sr 0.000 0.500 0.000
Sr3 Sr 0.500 0.000 0.000
Nb1 Nb 0.500 0.500 0.500
F1 F 0.000 0.000 0.000
# **Energy relative to the elements, uncorrected**: -0.518 eV/atom
# **Crystal system**: cubic


# 6
# Ba2TaRu | Alexandria | GGA-PBE | relaxed
data_Ba2TaRu
_cell_length_a 3.378
_cell_length_b 5.251
_cell_length_c 6.018
_cell_angle_alpha 90.00
_cell_angle_beta 90.00
_cell_angle_gamma 90.00
_space_group_name_H-M_alt 'P 1'
_space_group_IT_number 1
loop_
_space_group_symop_operation_xyz
'x,y,z'
loop_
_atom_site_label
_atom_site_type_symbol
_atom_site_fract_x
_atom_site_fract_y
_atom_site_fract_z
Ba1 Ba 0.000 0.000 0.247
Ba2 Ba 0.000 0.000 0.753
Ta1 Ta 0.500 0.500 0.500
Ru1 Ru 0.500 0.500 0.000
# **Energy of formation from the pure elements**: 1.2437 eV/atom
# **Crystal system**: orthorhombic


# 7
# ZrNb3F | Alexandria | GGA-PBE | relaxed
data_ZrNb3F
_cell_length_a 4.442
_cell_length_b 4.442
_cell_length_c 4.442
_cell_angle_alpha 90.00
_cell_angle_beta 90.00
_cell_angle_gamma 90.00
_space_group_name_H-M_alt 'P 1'
_space_group_IT_number 1
loop_
_space_group_symop_operation_xyz
'x,y,z'
loop_
_atom_site_label
_atom_site_type_symbol
_atom_site_fract_x
_atom_site_fract_y
_atom_site_fract_z
Zr1 Zr 0.000 0.000 0.000
Nb1 Nb 0.000 0.500 0.500
Nb2 Nb 0.500 0.000 0.500
Nb3 Nb 0.500 0.500 0.000
F1 F 0.500 0.500 0.500
# **Energy relative to the elements, uncorrected**: -0.079 eV/atom
# **Crystal system**: cubic


# 8
# Cs2Li3OsF12 | Alexandria | GGA-PBE | relaxed
data_Cs2Li3OsF12
_cell_length_a 7.880
_cell_length_b 7.880
_cell_length_c 7.880
_cell_angle_alpha 54.34
_cell_angle_beta 54.34
_cell_angle_gamma 54.34
_space_group_name_H-M_alt 'P 1'
_space_group_IT_number 1
loop_
_space_group_symop_operation_xyz
'x,y,z'
loop_
_atom_site_label
_atom_site_type_symbol
_atom_site_fract_x
_atom_site_fract_y
_atom_site_fract_z
Cs1 Cs 0.099 0.099 0.099
Cs2 Cs 0.901 0.901 0.901
Li1 Li 0.000 0.500 0.500
Li2 Li 0.500 0.000 0.500
Li3 Li 0.500 0.500 0.000
Os1 Os 0.500 0.500 0.500
F1 F 0.185 0.185 0.568
F2 F 0.185 0.568 0.185
F3 F 0.193 0.574 0.574
F4 F 0.426 0.426 0.807
F5 F 0.426 0.807 0.426
F6 F 0.432 0.815 0.815
F7 F 0.568 0.185 0.185
F8 F 0.574 0.193 0.574
F9 F 0.574 0.574 0.193
F10 F 0.807 0.426 0.426
F11 F 0.815 0.432 0.815
F12 F 0.815 0.815 0.432
# **Energy relative to the elements, uncorrected**: -2.179 eV/atom
# **Crystal system**: trigonal